Material: TbPm14Nd
Method: DFT, PBE
State: relaxed

abc: 7.297 7.297 10.300
angles: 90.00 90.00 89.98
Fractional positions:
Pm: 0.124 0.876 0.750
Pm: 0.875 0.125 0.500
Pm: 0.375 0.125 0.500
Pm: 0.875 0.625 0.000
Pm: 0.375 0.125 0.000
Pm: 0.626 0.374 0.250
Pm: 0.626 0.374 0.750
Pm: 0.124 0.374 0.250
Pm: 0.375 0.625 0.500
Pm: 0.875 0.625 0.500
Pm: 0.626 0.876 0.750
Pm: 0.124 0.876 0.250
Pm: 0.124 0.374 0.750
Pm: 0.626 0.876 0.250
Nd: 0.375 0.625 0.000
Tb: 0.875 0.125 0.000

Fermi-level density of states, states/eV per atom: 1.568
Spin magnetization, μB per atom: 0.000
Energy, Ry per atom: -0.34767
Space group: P4/mmm (123)
DFT formation energy, eV/atom: 0.014

---

Material: TbPm3Nd7
Method: DFT, PBE
State: relaxed

abc: 6.522 7.848 7.848
angles: 81.98 86.07 86.07
Fractional positions:
Pm: 0.000 0.829 0.171
Pm: 0.000 0.171 0.829
Pm: 0.500 0.000 0.000
Nd: 0.261 0.081 0.427
Nd: 0.261 0.427 0.081
Nd: 0.739 0.919 0.573
Nd: 0.214 0.761 0.761
Nd: 0.739 0.573 0.919
Nd: 0.786 0.239 0.239
Nd: 0.000 0.500 0.500
Tb: 0.500 0.500 0.500

Fermi-level density of states, states/eV per atom: 1.405
Spin magnetization, μB per atom: 0.000
Energy, Ry per atom: -0.33262
Space group: C2/m (12)
DFT formation energy, eV/atom: 0.225

---

Material: Tb8Pm2Nd
Method: DFT, PBE
State: relaxed

abc: 5.570 8.182 9.423
angles: 115.73 107.19 90.00
Fractional positions:
Pm: 0.800 0.300 0.600
Pm: 0.200 0.700 0.400
Nd: 0.500 0.000 0.000
Tb: 0.000 0.706 0.000
Tb: 0.638 0.845 0.276
Tb: 0.161 0.161 0.322
Tb: 0.362 0.155 0.724
Tb: 0.362 0.568 0.724
Tb: 0.000 0.294 0.000
Tb: 0.638 0.432 0.276
Tb: 0.839 0.839 0.678

Fermi-level density of states, states/eV per atom: 1.374
Spin magnetization, μB per atom: 0.000
Energy, Ry per atom: -0.33466
Relative energy among the computed polymorphs, eV/atom: 0.000
Space group: Immm (71)
DFT formation energy, eV/atom: 0.111